1 | Here is a relaxed Ga2HgSb2 crystal from Alexandria. Energies are from GGA-PBE.

The structure belongs to space group I4/mmm (No. 139); the cell edges are 5.010, 5.010 and 10.474 Å and the angles 90.00°, 90.00° and 90.00°. The asymmetric unit holds Ga at (0.000, 0.000, 0.118), Hg at (0.000, 0.000, 0.500) and Sb at (0.000, 0.500, 0.250).

The total magnetic moment comes out at 0.000 μB per formula unit. The calculated volume comes out at 263 Å³ per cell.

2 | Here is a relaxed Ga2HgSb2 crystal from Alexandria. Energies are from GGA-PBE.

The structure belongs to space group P4/mbm (No. 127); the cell edges are 8.588, 8.588 and 3.416 Å and the angles 90.00°, 90.00° and 90.00°. The asymmetric unit holds Ga at (0.137, 0.363, 0.000), Hg at (0.000, 0.000, 0.500) and Sb at (0.160, 0.660, 0.500).

The total magnetic moment comes out at 0.000 μB per formula unit. The calculated volume comes out at 252 Å³ per cell.

Of them, 1 has the highest stability.

1 | Here is a relaxed GaHg3Sb crystal from Alexandria. Energies are from GGA-PBE.

The structure belongs to space group Pm-3m (No. 221); the cell edges are 5.255, 5.255 and 5.255 Å and the angles 90.00°, 90.00° and 90.00°. The asymmetric unit holds Ga at (0.000, 0.000, 0.000), Hg at (0.000, 0.000, 0.500) and Sb at (0.500, 0.500, 0.500).

The total magnetic moment comes out at 0.000 μB per formula unit. The calculated volume comes out at 145 Å³ per cell.

2 | Here is a relaxed GaHg3Sb crystal from Alexandria. Energies are from GGA-PBE.

The structure belongs to space group Pm-3m (No. 221); the cell edges are 5.675, 5.675 and 5.675 Å and the angles 90.00°, 90.00° and 90.00°. The asymmetric unit holds Ga at (0.000, 0.000, 0.000), Hg at (0.000, 0.500, 0.500) and Sb at (0.500, 0.500, 0.500).

The total magnetic moment comes out at 0.000 μB per formula unit. The calculated volume comes out at 183 Å³ per cell.

Of them, 1 has the highest stability.

1 | Here is a relaxed GaHg2Sb2 crystal from Alexandria. Energies are from GGA-PBE.

The structure belongs to space group P4/mbm (No. 127); the cell edges are 8.482, 8.482 and 3.719 Å and the angles 90.00°, 90.00° and 90.00°. The asymmetric unit holds Ga at (0.000, 0.000, 0.000), Hg at (0.147, 0.353, 0.500) and Sb at (0.155, 0.655, 0.000).

The total magnetic moment comes out at 0.000 μB per formula unit. The calculated volume comes out at 268 Å³ per cell.

2 | Here is a relaxed GaHg2Sb2 crystal from Alexandria. Energies are from GGA-PBE.

The structure belongs to space group I4/mmm (No. 139); the cell edges are 4.337, 4.337 and 15.467 Å and the angles 90.00°, 90.00° and 90.00°. The asymmetric unit holds Ga at (0.000, 0.000, 0.000), Hg at (0.000, 0.000, 0.407) and Sb at (0.000, 0.500, 0.250).

The total magnetic moment comes out at 0.000 μB per formula unit. The calculated volume comes out at 291 Å³ per cell.

Of them, 1 has the highest stability.

1 | Here is a relaxed GaHg2Sb2 crystal from Alexandria. Energies are from GGA-PBE.

The structure belongs to space group P4/mbm (No. 127); the cell edges are 8.755, 8.755 and 3.519 Å and the angles 90.00°, 90.00° and 90.00°. The asymmetric unit holds Ga at (0.000, 0.000, 0.000), Hg at (0.152, 0.348, 0.000) and Sb at (0.147, 0.647, 0.500).

The total magnetic moment comes out at 0.000 μB per formula unit. The calculated volume comes out at 270 Å³ per cell.

2 | Here is a relaxed GaHg2Sb2 crystal from Alexandria. Energies are from GGA-PBE.

The structure belongs to space group I4/mmm (No. 139); the cell edges are 4.021, 4.021 and 17.549 Å and the angles 90.00°, 90.00° and 90.00°. The asymmetric unit holds Ga at (0.000, 0.000, 0.000), Hg at (0.000, 0.500, 0.250) and Sb at (0.000, 0.000, 0.419).

The total magnetic moment comes out at 0.000 μB per formula unit. The calculated volume comes out at 284 Å³ per cell.

Of them, 2 has the highest stability.

1 | Here is a relaxed GaHgSb2Te crystal from Alexandria. Energies are from GGA-PBE.

The structure belongs to space group P4/mmm (No. 123); the cell edges are 5.540, 5.540 and 5.850 Å and the angles 90.00°, 90.00° and 90.00°. The asymmetric unit holds Ga at (0.000, 0.000, 0.000), Hg at (0.500, 0.500, 0.500), Sb at (0.000, 0.500, 0.500) and Te at (0.500, 0.500, 0.000).

The total magnetic moment comes out at 0.148 μB per formula unit. The calculated volume comes out at 180 Å³ per cell.

2 | Here is a relaxed GaHgSb2Te crystal from Alexandria. Energies are from GGA-PBE.

The structure belongs to space group P4/mmm (No. 123); the cell edges are 5.401, 5.401 and 5.431 Å and the angles 90.00°, 90.00° and 90.00°. The asymmetric unit holds Ga at (0.000, 0.000, 0.000), Hg at (0.500, 0.500, 0.500), Sb at (0.000, 0.500, 0.000) and Te at (0.000, 0.000, 0.500).

The total magnetic moment comes out at 0.000 μB per formula unit. The calculated volume comes out at 158 Å³ per cell.

Of them, 2 has the highest stability.

1 | Here is a relaxed Sc2GaHg2 crystal from Alexandria. Energies are from GGA-PBE.

The structure belongs to space group P4/mbm (No. 127); the cell edges are 7.352, 7.352 and 4.035 Å and the angles 90.00°, 90.00° and 90.00°. The asymmetric unit holds Sc at (0.166, 0.334, 0.000), Ga at (0.000, 0.000, 0.500) and Hg at (0.138, 0.638, 0.500).

The total magnetic moment comes out at 0.000 μB per formula unit. The calculated volume comes out at 218 Å³ per cell.

2 | Here is a relaxed Sc2GaHg2 crystal from Alexandria. Energies are from GGA-PBE.

The structure belongs to space group Ibam (No. 72); the cell edges are 5.919, 13.350 and 5.627 Å and the angles 90.00°, 90.00° and 90.00°. The asymmetric unit holds Sc at (0.172, 0.169, 0.000), Ga at (0.000, 0.000, 0.250) and Hg at (0.153, 0.389, 0.000).

The total magnetic moment comes out at 0.001 μB per formula unit. The calculated volume comes out at 445 Å³ per cell.

3 | Here is a relaxed Sc2GaHg2 crystal from Alexandria. Energies are from GGA-PBE.

The structure belongs to space group Cmmm (No. 65); the cell edges are 3.248, 20.710 and 3.202 Å and the angles 90.00°, 90.00° and 90.00°. The asymmetric unit holds Sc at (0.000, 0.087, 0.000), Ga at (0.000, 0.500, 0.500) and Hg at (0.000, 0.313, 0.500).

The total magnetic moment comes out at 0.000 μB per formula unit. The calculated volume comes out at 215 Å³ per cell.

4 | Here is a relaxed Sc2GaHg2 crystal from Alexandria. Energies are from GGA-PBE.

The structure belongs to space group P4/mbm (No. 127); the cell edges are 7.749, 7.749 and 3.788 Å and the angles 90.00°, 90.00° and 90.00°. The asymmetric unit holds Sc at (0.159, 0.341, 0.000), Ga at (0.000, 0.000, 0.000) and Hg at (0.143, 0.643, 0.500).

The total magnetic moment comes out at 0.000 μB per formula unit. The calculated volume comes out at 227 Å³ per cell.

Of them, 3 has the highest stability.

1 | Here is a relaxed ScGaHg crystal from Alexandria. Energies are from GGA-PBE.

The structure belongs to space group P4/nmm (No. 129, origin choice 2); the cell edges are 4.235, 4.235 and 7.072 Å and the angles 90.00°, 90.00° and 90.00°. The asymmetric unit holds Sc at (0.250, 0.250, 0.189), Ga at (0.250, 0.750, 0.500) and Hg at (0.250, 0.250, 0.783).

The total magnetic moment comes out at 0.000 μB per formula unit. The calculated volume comes out at 127 Å³ per cell.

2 | Here is a relaxed ScGaHg crystal from Alexandria. Energies are from GGA-PBE.

The structure belongs to space group Pnma (No. 62); the cell edges are 6.028, 4.527 and 8.873 Å and the angles 90.00°, 90.00° and 90.00°. The asymmetric unit holds Sc at (0.170, 0.250, 0.078), Ga at (0.171, 0.250, 0.411) and Hg at (0.035, 0.250, 0.734).

The total magnetic moment comes out at 0.000 μB per formula unit. The calculated volume comes out at 242 Å³ per cell.

3 | Here is a relaxed ScGaHg crystal from Alexandria. Energies are from GGA-PBE.

The structure belongs to space group P6_3/mmc (No. 194); the cell edges are 4.8324, 4.8324 and 5.9719 Å and the angles 90.00°, 90.00° and 120.00°. The asymmetric unit holds Sc at (0.3333, 0.6667, 0.2500), Ga at (0.3333, 0.6667, 0.7500) and Hg at (0.0000, 0.0000, 0.0000).

The total magnetic moment comes out at 0.000 μB per formula unit. The calculated volume comes out at 121 Å³ per cell.

4 | Here is a relaxed ScGaHg crystal from Alexandria. Energies are from GGA-PBE.

The structure belongs to space group C2/m (No. 12); the cell edges are 16.037, 3.972 and 3.945 Å and the angles 90.00°, 90.74° and 90.00°. The asymmetric unit holds Sc at (0.091, 0.000, 0.255), Ga at (0.046, 0.500, 0.752) and Hg at (0.213, 0.500, 0.749).

The total magnetic moment comes out at 0.000 μB per formula unit. The calculated volume comes out at 251 Å³ per cell.

Of them, 4 has the highest stability.

1 | Here is a relaxed ScGa3Hg crystal from Alexandria. Energies are from GGA-PBE.

The structure belongs to space group Pm-3m (No. 221); the cell edges are 5.350, 5.350 and 5.350 Å and the angles 90.00°, 90.00° and 90.00°. The asymmetric unit holds Sc at (0.000, 0.000, 0.000), Ga at (0.000, 0.000, 0.500) and Hg at (0.500, 0.500, 0.500).

The total magnetic moment comes out at 0.000 μB per formula unit. The calculated volume comes out at 153 Å³ per cell.

2 | Here is a relaxed ScGa3Hg crystal from Alexandria. Energies are from GGA-PBE.

The structure belongs to space group Pm-3m (No. 221); the cell edges are 5.106, 5.106 and 5.106 Å and the angles 90.00°, 90.00° and 90.00°. The asymmetric unit holds Sc at (0.000, 0.000, 0.000), Ga at (0.000, 0.500, 0.500) and Hg at (0.500, 0.500, 0.500).

The total magnetic moment comes out at 0.000 μB per formula unit. The calculated volume comes out at 133 Å³ per cell.

Of them, 1 has the highest stability.

1 | Here is a relaxed ScGa2Hg2 crystal from Alexandria. Energies are from GGA-PBE.

The structure belongs to space group P4/mbm (No. 127); the cell edges are 7.786, 7.786 and 3.595 Å and the angles 90.00°, 90.00° and 90.00°. The asymmetric unit holds Sc at (0.000, 0.000, 0.000), Ga at (0.174, 0.326, 0.500) and Hg at (0.133, 0.633, 0.000).

The total magnetic moment comes out at 0.000 μB per formula unit. The calculated volume comes out at 218 Å³ per cell.

2 | Here is a relaxed ScGa2Hg2 crystal from Alexandria. Energies are from GGA-PBE.

The structure belongs to space group I4/mmm (No. 139); the cell edges are 4.305, 4.305 and 11.453 Å and the angles 90.00°, 90.00° and 90.00°. The asymmetric unit holds Sc at (0.000, 0.000, 0.000), Ga at (0.000, 0.000, 0.397) and Hg at (0.000, 0.500, 0.250).

The total magnetic moment comes out at 0.000 μB per formula unit. The calculated volume comes out at 212 Å³ per cell.

Of them, 2 has the highest stability.

1 | Here is a relaxed ScGaHg3 crystal from Alexandria. Energies are from GGA-PBE.

The structure belongs to space group Pm-3m (No. 221); the cell edges are 5.108, 5.108 and 5.108 Å and the angles 90.00°, 90.00° and 90.00°. The asymmetric unit holds Sc at (0.000, 0.000, 0.000), Ga at (0.500, 0.500, 0.500) and Hg at (0.000, 0.500, 0.500).

The total magnetic moment comes out at 0.230 μB per formula unit. The calculated volume comes out at 133 Å³ per cell.

2 | Here is a relaxed ScGaHg3 crystal from Alexandria. Energies are from GGA-PBE.

The structure belongs to space group Pm-3m (No. 221); the cell edges are 5.563, 5.563 and 5.563 Å and the angles 90.00°, 90.00° and 90.00°. The asymmetric unit holds Sc at (0.000, 0.000, 0.000), Ga at (0.500, 0.500, 0.500) and Hg at (0.000, 0.000, 0.500).

The total magnetic moment comes out at 0.000 μB per formula unit. The calculated volume comes out at 172 Å³ per cell.

Of them, 1 has the highest stability.

1 | Here is a relaxed TmScGaHg crystal from Alexandria. Energies are from GGA-PBE.

The structure belongs to space group P4mm (No. 99); the cell edges are 3.493, 3.493 and 7.170 Å and the angles 90.00°, 90.00° and 90.00°. The asymmetric unit holds Tm at (0.000, 0.000, 0.000), Sc at (0.000, 0.000, 0.528), Ga at (0.500, 0.500, 0.751) and Hg at (0.500, 0.500, 0.280).

The total magnetic moment comes out at 0.000 μB per formula unit. The calculated volume comes out at 87 Å³ per cell.

2 | Here is a relaxed TmScGaHg crystal from Alexandria. Energies are from GGA-PBE.

The structure belongs to space group F-43m (No. 216); the cell edges are 7.072, 7.072 and 7.072 Å and the angles 90.00°, 90.00° and 90.00°. The asymmetric unit holds Tm at (0.000, 0.000, 0.000), Sc at (0.000, 0.000, 0.500), Ga at (0.250, 0.250, 0.250) and Hg at (0.250, 0.250, 0.750).

The total magnetic moment comes out at 0.004 μB per formula unit. The calculated volume comes out at 354 Å³ per cell.

Of them, 1 has the highest stability.